# 1
The following is a DFT calculation (PBE) of an optimized crystal structure of TbMgZn.

## Properties
Crystal system: cubic
Energy of formation from the pure elements in eV per atom: -0.071

a b c (Å): 6.7246 6.7246 6.7246
angles (deg): 90.00 90.00 90.00
Closest atoms and distances in Å follow each position.
Space group F-43m (No. 216)
Symmetry-distinct sites (fractional):
Tb 0.0000 0.0000 0.0000 x4  4 Zn 2.91
Mg 0.0000 0.0000 0.5000 x4  4 Zn 2.91
Zn 0.2500 0.2500 0.2500 x4  4 Mg 2.91, 4 Tb 2.91

# 2
The following is a DFT calculation (PBE) of an optimized crystal structure of Sr2ScAs2.

## Properties
Polymorph energy (0 for the lowest one) in meV per atom: 0
Crystal system: orthorhombic
Energy of formation from the pure elements in eV per atom: -1.067

a b c (Å): 7.4250 12.5051 6.4309
angles (deg): 90.00 90.00 90.00
Closest atoms and distances in Å follow each position.
Space group Ibam (No. 72)
Symmetry-distinct sites (fractional):
Sr 0.1550 0.1480 0.0000 x8  5 As 3.11-3.36
Sc 0.0000 0.5000 0.2500 x4  4 As 2.71
As 0.2323 0.3928 0.0000 x8  2 Sc 2.71

# 3
The following is a DFT calculation (PBE) of an optimized crystal structure of MgOs2Ru.

## Properties
Crystal system: monoclinic
Energy of formation from the pure elements in eV per atom: 0.233

a b c (Å): 2.7607 3.8646 5.5309
angles (deg): 90.00 90.12 90.00
Closest atoms and distances in Å follow each position.
Space group Pm (No. 6)
Symmetry-distinct sites (fractional):
Mg 0.0000 0.0000 0.0000 x1  4 Ru 2.73-2.74, 6 Os 2.76-2.81, 2 Mg 2.76
Os 0.0019 0.0000 0.5013 x1  6 Os 2.68-2.76, 2 Mg 2.76-2.77, 4 Ru 2.76
Os 0.4986 0.5000 0.7269 x1  2 Ru 2.66-2.87, 6 Os 2.68-2.76, 4 Mg 2.81
Ru 0.5025 0.5000 0.2461 x1  6 Os 2.66-2.87, 4 Mg 2.73-2.74, 2 Ru 2.76

# 4
The following is a DFT calculation (PBE) of an optimized crystal structure of Tl2CoSi.

## Properties
Polymorph energy (0 for the lowest one) in meV per atom: 677
Crystal system: cubic
E_form (uncorrected) in eV/atom: 0.83

a b c (Å): 6.9401 6.9401 6.9401
angles (deg): 90.00 90.00 90.00
Closest atoms and distances in Å follow each position.
Space group F-43m (No. 216)
Symmetry-distinct sites (fractional):
Tl 0.0000 0.0000 0.0000 x4  4 Si 3.01, 4 Tl 3.01
Tl 0.2500 0.2500 0.2500 x4  4 Tl 3.01, 4 Co 3.01
Co 0.0000 0.0000 0.5000 x4  4 Tl 3.01, 4 Si 3.01
Si 0.2500 0.2500 0.7500 x4  4 Tl 3.01, 4 Co 3.01

# 5
The following is a DFT calculation (PBE) of an optimized crystal structure of LiZnBiPt2.

## Properties
Crystal system: tetragonal
Energy of formation from the pure elements in eV per atom: 0.150

a b c (Å): 4.5261 4.5261 4.3253
angles (deg): 90.00 90.00 90.00
Closest atoms and distances in Å follow each position.
Space group P4/mmm (No. 123)
Symmetry-distinct sites (fractional):
Li 0.0000 0.0000 0.0000 x1  2 Zn 2.16, 4 Pt 2.26
Zn 0.0000 0.0000 0.5000 x1  2 Li 2.16
Bi 0.5000 0.5000 0.5000 x1  8 Pt 3.13, 4 Zn 3.20
Pt 0.0000 0.5000 0.0000 x2  2 Li 2.26

# 6
The following is a DFT calculation (PBE) of an optimized crystal structure of AgGe2P.

## Properties
Crystal system: tetragonal
Energy of formation from the pure elements in eV per atom: 0.212

a b c (Å): 6.0059 6.0059 10.3200
angles (deg): 90.00 90.00 90.00
Closest atoms and distances in Å follow each position.
Space group I-42d (No. 122)
Symmetry-distinct sites (fractional):
Ag 0.0000 0.0000 0.0000 x4  4 Ge 2.56
Ge 0.2289 0.2500 0.6250 x8  2 P 2.41, 2 Ag 2.56
P 0.0000 0.0000 0.5000 x4  4 Ge 2.41

# 7
The following is a DFT calculation (PBE) of an optimized crystal structure of MgUAsO6.

## Properties
Crystal system: trigonal
E_form (uncorrected) in eV/atom: -2.19

a b c (Å): 5.2883 5.2883 8.9860
angles (deg): 90.00 90.00 120.00
Closest atoms and distances in Å follow each position.
Space group P-31c (No. 163)
Symmetry-distinct sites (fractional):
Mg 0.0000 0.0000 0.0000 x2  6 O 2.20
U 0.3333 0.6667 0.2500 x2  6 O 2.17
As 0.3333 0.6667 0.7500 x2  6 O 1.88
O 0.0423 0.3686 0.6331 x12  1 As 1.88

# 8
The following is a DFT calculation (PBE) of an optimized crystal structure of Tb6GaGe2Se3.

## Properties
Crystal system: monoclinic
E_form (uncorrected) in eV/atom: -1.31

a b c (Å): 18.2591 4.1313 8.3546
angles (deg): 90.00 106.16 90.00
Closest atoms and distances in Å follow each position.
Space group C2/m (No. 12)
Symmetry-distinct sites (fractional):
Tb 0.0002 0.0000 0.2480 x4  1 Ge 2.90, 3 Se 2.92-2.94, 2 Ga 2.95
Tb 0.1669 0.5000 0.5866 x4  2 Ge 2.89, 3 Se 2.90-2.98, 1 Ga 2.93
Tb 0.1696 0.5000 0.0732 x4  3 Ge 2.89-2.91, 3 Se 2.99
Ga 0.0000 0.5000 0.5000 x2  6 Tb 2.93-2.95
Ge 0.1645 0.0000 0.8277 x4  6 Tb 2.89-2.91
Se 0.0000 0.5000 0.0000 x2  6 Tb 2.92-2.99
Se 0.1677 0.0000 0.3300 x4  6 Tb 2.90-2.99

# 9
The following is a DFT calculation (PBE) of an optimized crystal structure of Ce2Ga4PtAu3.

## Properties
Crystal system: tetragonal
Energy of formation from the pure elements in eV per atom: -0.658

a b c (Å): 4.4466 4.4466 10.3501
angles (deg): 90.00 90.00 90.00
Closest atoms and distances in Å follow each position.
Space group P-4m2 (No. 115)
Symmetry-distinct sites (fractional):
Ce 0.0000 0.5000 0.2453 x2  2 Pt 3.37, 6 Au 3.37-3.39, 8 Ga 3.38-3.45
Ga 0.0000 0.0000 0.5000 x1  4 Au 2.62
Ga 0.0000 0.5000 0.8752 x2  3 Au 2.50-2.57, 2 Pt 2.57
Ga 0.5000 0.5000 0.5000 x1  4 Au 2.62
Pt 0.5000 0.5000 0.0000 x1  4 Ga 2.57
Au 0.0000 0.0000 0.0000 x1  4 Ga 2.57
Au 0.0000 0.5000 0.6334 x2  5 Ga 2.50-2.62

# 10
The following is a DFT calculation (PBE) of an optimized crystal structure of Sb3Cl.

## Properties
Polymorph energy (0 for the lowest one) in meV per atom: 36
Crystal system: tetragonal
E_form (uncorrected) in eV/atom: -0.02

a b c (Å): 3.8495 3.8495 7.4681
angles (deg): 90.00 90.00 90.00
Closest atoms and distances in Å follow each position.
Space group P4/mmm (No. 123)
Symmetry-distinct sites (fractional):
Sb 0.0000 0.0000 0.0000 x1  8 Sb 3.15
Sb 0.5000 0.5000 0.2111 x2  5 Sb 3.15, 4 Cl 3.47
Cl 0.0000 0.0000 0.5000 x1  10 Sb 3.47-3.73, 4 Cl 3.85

# 11
The following is a DFT calculation (PBE) of an optimized crystal structure of La2MnSiC.

## Properties
Polymorph energy (0 for the lowest one) in meV per atom: 0
Crystal system: monoclinic
E_form (uncorrected) in eV/atom: -0.31

a b c (Å): 6.3633 4.1550 8.7285
angles (deg): 90.00 109.30 90.00
Closest atoms and distances in Å follow each position.
Space group P2_1/m (No. 11)
Symmetry-distinct sites (fractional):
La 0.2176 0.2500 0.3919 x2  2 C 2.78, 1 Mn 3.02
La 0.2319 0.2500 0.9693 x2  3 C 2.67-2.80
Mn 0.4950 0.7500 0.2547 x2  1 C 1.73
Si 0.3327 0.7500 0.7050 x2  2 Mn 2.32
C 0.2080 0.7500 0.1783 x2  1 Mn 1.73

# 12
The following is a DFT calculation (PBE) of an optimized crystal structure of Hf2AlTcI.

## Properties
Crystal system: tetragonal
E_form (uncorrected) in eV/atom: 1.42

a b c (Å): 5.1448 5.1448 4.7965
angles (deg): 90.00 90.00 90.00
Closest atoms and distances in Å follow each position.
Space group P4/mmm (No. 123)
Symmetry-distinct sites (fractional):
Hf 0.0000 0.5000 0.0000 x2  2 I 2.57
Al 0.0000 0.0000 0.5000 x1  8 Hf 3.52, 4 Tc 3.64
Tc 0.5000 0.5000 0.5000 x1  2 I 2.40
I 0.5000 0.5000 0.0000 x1  2 Tc 2.40, 4 Hf 2.57